Record 1
Density functional theory data (PBE) for a relaxed structure of Mg3Cd4Ga2.

Lattice parameters (Å, degrees): 8.612 9.630 7.591 50.63 62.79 90.00
Fractional coordinates of all 18 atoms:
Cd1 0.852 0.292 0.142
Cd2 0.913 0.362 0.495
Cd3 0.648 0.434 0.858
Cd4 0.587 0.856 0.505
Cd5 0.413 0.144 0.495
Cd6 0.148 0.708 0.858
Cd7 0.087 0.638 0.505
Cd8 0.352 0.566 0.142
Ga1 0.031 0.039 0.632
Ga2 0.531 0.329 0.632
Ga3 0.969 0.961 0.368
Ga4 0.469 0.671 0.368
Mg1 0.750 0.632 0.000
Mg2 0.368 0.012 0.221
Mg3 0.132 0.233 0.779
Mg4 0.632 0.988 0.779
Mg5 0.250 0.368 0.000
Mg6 0.868 0.767 0.221

Calculated values
The space group is C2/c, No. 15. As for the density of states at the Fermi level: 0.262 states/eV/atom. For the formation energy, the calculation gives -0.040 eV per atom. For the size of the total moment, the calculation gives 0.00 Bohr magnetons per cell.

=====

Record 2
Density functional theory data (PBE) for a relaxed structure of Mg14CdGa.

Lattice parameters (Å, degrees): 6.297 6.297 10.164 90.00 90.00 118.06
Fractional coordinates of all 16 atoms:
Ga1 0.332 0.668 0.500
Mg1 0.665 0.335 0.750
Mg2 0.340 0.161 0.500
Mg3 0.836 0.164 0.000
Mg4 0.166 0.340 0.258
Mg5 0.165 0.835 0.252
Mg6 0.839 0.660 0.500
Mg7 0.834 0.666 0.000
Mg8 0.334 0.166 0.000
Mg9 0.336 0.664 0.000
Mg10 0.660 0.834 0.742
Mg11 0.660 0.834 0.258
Mg12 0.165 0.835 0.748
Mg13 0.166 0.340 0.742
Mg14 0.665 0.335 0.250
Cd1 0.835 0.165 0.500

Calculated values
The space group is Amm2, No. 38. As for the density of states at the Fermi level: 0.524 states/eV/atom. For the formation energy, the calculation gives -0.022 eV per atom. For the size of the total moment, the calculation gives 0.00 Bohr magnetons per cell.

=====

Record 3
Density functional theory data (PBE) for a relaxed structure of MgCd3Ga.

Lattice parameters (Å, degrees): 7.282 8.592 8.592 61.77 75.10 75.10
Fractional coordinates of all 20 atoms:
Mg1 0.750 0.633 0.367
Mg2 0.750 0.032 0.968
Mg3 0.250 0.968 0.032
Mg4 0.250 0.367 0.633
Cd1 0.467 0.990 0.321
Cd2 0.882 0.985 0.308
Cd3 0.118 0.015 0.692
Cd4 0.104 0.291 0.315
Cd5 0.382 0.308 0.985
Cd6 0.618 0.692 0.015
Cd7 0.967 0.321 0.990
Cd8 0.896 0.709 0.685
Cd9 0.033 0.679 0.010
Cd10 0.533 0.010 0.679
Cd11 0.396 0.685 0.709
Cd12 0.604 0.315 0.291
Ga1 0.782 0.245 0.577
Ga2 0.718 0.423 0.755
Ga3 0.218 0.755 0.423
Ga4 0.282 0.577 0.245

Calculated values
The space group is C2/c, No. 15. As for the density of states at the Fermi level: 0.352 states/eV/atom. For the formation energy, the calculation gives 0.000 eV per atom. For the size of the total moment, the calculation gives 0.00 Bohr magnetons per cell.

=====

Record 4
Density functional theory data (PBE) for a relaxed structure of Mg5Cd2Ga.

Lattice parameters (Å, degrees): 7.329 7.329 8.378 115.94 115.94 90.00
Fractional coordinates of all 16 atoms:
Mg1 0.817 0.003 0.321
Mg2 0.497 0.683 0.679
Mg3 0.503 0.317 0.321
Mg4 0.003 0.503 0.321
Mg5 0.997 0.497 0.679
Mg6 0.183 0.997 0.679
Mg7 0.683 0.183 0.679
Mg8 0.000 0.000 0.000
Mg9 0.500 0.500 0.000
Mg10 0.317 0.817 0.321
Ga1 0.250 0.250 0.500
Ga2 0.750 0.750 0.500
Cd1 0.360 0.860 0.000
Cd2 0.140 0.360 0.000
Cd3 0.640 0.140 0.000
Cd4 0.860 0.640 0.000

Calculated values
The space group is I4/mcm, No. 140. As for the density of states at the Fermi level: 0.397 states/eV/atom. For the formation energy, the calculation gives -0.045 eV per atom. For the size of the total moment, the calculation gives 0.00 Bohr magnetons per cell.

=====

Record 5
Density functional theory data (PBE) for a relaxed structure of Mg3CdGa.

Lattice parameters (Å, degrees): 4.586 7.886 6.129 85.03 90.04 106.24
Fractional coordinates of all 10 atoms:
Cd1 0.086 0.146 0.846
Cd2 0.900 0.766 0.370
Mg1 0.889 0.744 0.873
Mg2 0.488 0.944 0.103
Mg3 0.695 0.361 0.079
Mg4 0.707 0.381 0.579
Mg5 0.098 0.165 0.348
Mg6 0.488 0.944 0.605
Ga1 0.288 0.540 0.795
Ga2 0.292 0.551 0.280

Calculated values
The space group is P1, No. 1. As for the density of states at the Fermi level: 0.319 states/eV/atom. For the formation energy, the calculation gives -0.071 eV per atom. For the size of the total moment, the calculation gives 0.00 Bohr magnetons per cell.

=====

Record 6
Density functional theory data (PBE) for a relaxed structure of Mg6CdGa2.

Lattice parameters (Å, degrees): 4.329 5.351 9.279 74.97 90.00 113.86
Fractional coordinates of all 9 atoms:
Ga1 0.678 0.356 0.269
Ga2 0.322 0.644 0.731
Mg1 0.996 0.991 0.825
Mg2 0.335 0.670 0.055
Mg3 0.333 0.666 0.393
Mg4 0.665 0.330 0.945
Mg5 0.667 0.334 0.607
Mg6 0.004 0.009 0.175
Cd1 0.000 0.000 0.500

Calculated values
The space group is C2/m, No. 12. As for the density of states at the Fermi level: 0.314 states/eV/atom. For the formation energy, the calculation gives -0.077 eV per atom. For the size of the total moment, the calculation gives 0.00 Bohr magnetons per cell.